A relaxed Cu4Au crystal, computed with PBEsol.

Cell and atoms, written as POSCAR:
```
Cu4Au
1.0
4.3022 -1.3278 0.0000
4.3022 1.3278 0.0000
-3.2600 0.0000 5.4892
Cu Au
4 1
direct
0.1044 0.1044 0.4129
0.3092 0.3092 0.2128
0.6908 0.6908 0.7872
0.8956 0.8956 0.5871
0.5000 0.5000 0.0000
```

DOS(E_F) = 0.290 states/eV/atom
Energy of formation from the pure elements = 0.01 eV/f.u.
ρ = 11.9 g cm⁻³

A relaxed CuAu2 crystal, computed with PBEsol.

Cell and atoms, written as POSCAR:
```
CuAu2
1.0
1.4087 -7.0178 0.0000
1.4087 7.0178 0.0000
0.0000 0.0000 4.6334
Cu Au
2 4
direct
0.1062 0.8938 0.7500
0.8938 0.1062 0.2500
0.2308 0.7692 0.2500
0.4438 0.5562 0.7500
0.5562 0.4438 0.2500
0.7692 0.2308 0.7500
```

DOS(E_F) = 0.347 states/eV/atom
Energy of formation from the pure elements = -0.02 eV/f.u.
ρ = 16.6 g cm⁻³

A relaxed CuAu2 crystal, computed with PBEsol.

Cell and atoms, written as POSCAR:
```
CuAu2
1.0
5.1573 -1.4061 0.0000
5.1573 1.4061 0.0000
-1.7250 0.0000 6.3444
Cu Au
2 4
direct
0.0000 0.0000 0.0000
0.6680 0.6680 0.3180
0.2823 0.2823 0.0680
0.3275 0.3275 0.6508
0.6086 0.6086 0.7399
0.9648 0.9648 0.3825
```

DOS(E_F) = 0.334 states/eV/atom
Energy of formation from the pure elements = 0.06 eV/f.u.
ρ = 16.5 g cm⁻³